[1]
Density functional theory data (meta-GGA SCAN) for a crystal of LiAl3Mo relaxed with PBEsol.

Cell and atoms, written as POSCAR:
```
LiAl3Mo
1.0
4.831 0.000 0.000
0.000 4.831 0.000
0.000 0.000 4.831
Al Li Mo
3 1 1
direct
0.000 0.500 0.000
0.500 0.000 0.000
0.000 0.000 0.500
0.500 0.500 0.500
0.000 0.000 0.000
```

## Properties
* V: 113 Å³/cell
* space-group type: Pm-3m, No. 221
* raw total energy: -11.739 eV/atom
* energy of formation: 35 kJ/mol of atoms

---

[2]
Density functional theory data (meta-GGA SCAN) for a crystal of LiAlMo2 relaxed with PBEsol.

Cell and atoms, written as POSCAR:
```
LiAlMo2
1.0
3.329 0.000 0.000
0.000 3.977 0.000
0.000 0.000 4.355
Li Mo Al
1 2 1
direct
0.000 0.500 0.500
0.500 0.500 0.000
0.000 0.000 0.000
0.500 0.000 0.500
```

## Properties
* V: 58 Å³/cell
* space-group type: Pmmm, No. 47
* raw total energy: -19.907 eV/atom
* energy of formation: 7 kJ/mol of atoms

---

The lowest raw total energy belongs to which entry?
LiAlMo2

---

What did the first record say?
Density functional theory data (meta-GGA SCAN) for a crystal of LiAl3Mo relaxed with PBEsol.

Cell and atoms, written as POSCAR:
```
LiAl3Mo
1.0
4.831 0.000 0.000
0.000 4.831 0.000
0.000 0.000 4.831
Al Li Mo
3 1 1
direct
0.000 0.500 0.000
0.500 0.000 0.000
0.000 0.000 0.500
0.500 0.500 0.500
0.000 0.000 0.000
```

## Properties
* V: 113 Å³/cell
* space-group type: Pm-3m, No. 221
* raw total energy: -11.739 eV/atom
* energy of formation: 35 kJ/mol of atoms

---

Which value of raw total energy does entry 2 give?
-19.907 eV/atom